A.
# HfZrIn2

A relaxed structure of HfZrIn2 (PBE, OQMD).

Unit cell a=4.1219 b=4.1219 c=21.5760 alpha=90.00 beta=90.00 gamma=90.00
Space group I4_1md (No. 109)
Inequivalent atoms, fractional coordinates:
Hf 0.0000 0.0000 0.0000 x4
Zr 0.0000 0.0000 0.6105 x4
In 0.0000 0.0000 0.1347 x4
In 0.0000 0.0000 0.4752 x4

spin magnetization = 0.014 μB per formula unit

***

B.
# HfZrIn2

A relaxed structure of HfZrIn2 (PBE, OQMD).

Unit cell a=4.4339 b=4.4339 c=4.4361 alpha=90.00 beta=90.00 gamma=90.00
Space group P4/mmm (No. 123)
Inequivalent atoms, fractional coordinates:
Hf 0.0000 0.0000 0.0000 x1
Zr 0.5000 0.5000 0.0000 x1
In 0.0000 0.5000 0.5000 x2

spin magnetization = 0.001 μB per formula unit

***

C.
# HfZrIn2

A relaxed structure of HfZrIn2 (PBE, OQMD).

Unit cell a=7.1402 b=7.1402 c=7.1402 alpha=90.00 beta=90.00 gamma=90.00
Space group F-43m (No. 216)
Inequivalent atoms, fractional coordinates:
Hf 0.0000 0.0000 0.0000 x4
Zr 0.2500 0.2500 0.2500 x4
In 0.0000 0.0000 0.5000 x4
In 0.2500 0.2500 0.7500 x4

spin magnetization = 1.415 μB per formula unit

***

Looking at the structures above, B is most stable, and the difference to the next one is 156 meV per atom.